{
  "formula": "HoCd2Sn2",
  "functional": "GGA-PBE",
  "state": "optimized geometry",
  "lattice": [[4.4204, 0.0000, 0.0000], [0.0000, 4.4606, 0.0000], [-2.2102, 0.0000, 12.2608]],
  "species": ["Cd", "Cd", "Cd", "Cd", "Sn", "Sn", "Sn", "Sn", "Ho", "Ho"],
  "frac_coords": [[0.9542, 0.2500, 0.9084], [0.5438, 0.2500, 0.0877], [0.0458, 0.7500, 0.0916], [0.4562, 0.7500, 0.9123], [0.7498, 0.2500, 0.4997], [0.1338, 0.2500, 0.2675], [0.2502, 0.7500, 0.5003], [0.8662, 0.7500, 0.7325], [0.6506, 0.7500, 0.3013], [0.3494, 0.2500, 0.6987]],
  "delta_e_f_mev_per_atom": -344,
  "total_magnetization_mub_per_cell": 0.00
}